## BaCa2Pb (PBE-GGA)

Data for crystalline BaCa2Pb at its relaxed geometry.

Calculated values
Its energy of formation is -0.5 eV per formula unit. Its magnetic moment is 0.00 μB/cell.

Structure (CIF):
```
data_BaCa2Pb
_symmetry_space_group_name_H-M 'C m m m'
_symmetry_Int_Tables_number 65
_symmetry_space_group_name_Hall '-C 2 2'
_cell_length_a 7.541
_cell_length_b 10.104
_cell_length_c 4.061
_cell_angle_alpha 90.00
_cell_angle_beta 90.00
_cell_angle_gamma 90.00
loop_
_atom_site_label
_atom_site_type_symbol
_atom_site_fract_x
_atom_site_fract_y
_atom_site_fract_z
Ba1 Ba 0.000 0.000 0.000
Ca1 Ca 0.250 0.250 0.500
Pb1 Pb 0.000 0.500 0.000
```